{"formula": "PrCuW2O8", "functional": "GGA+U", "state": "optimized geometry", "lattice": [[7.3093, 0.0000, 0.0000], [-0.2008, 7.5150, 0.0000], [-3.2993, -3.2572, 6.1057]], "species": ["Pr", "Pr", "Cu", "Cu", "W", "W", "W", "W", "O", "O", "O", "O", "O", "O", "O", "O", "O", "O", "O", "O", "O", "O", "O", "O"], "fractional_positions": [[0.1827, 0.2855, 0.4609], [0.8173, 0.7145, 0.5391], [0.2240, 0.6760, 0.9585], [0.7760, 0.3240, 0.0415], [0.2717, 0.2971, 0.0379], [0.3536, 0.8991, 0.7113], [0.6464, 0.1009, 0.2887], [0.7283, 0.7029, 0.9621], [0.0530, 0.3106, 0.0991], [0.1444, 0.9949, 0.8038], [0.1752, 0.6441, 0.5526], [0.1983, 0.3656, 0.8154], [0.2939, 0.9957, 0.5204], [0.3872, 0.1697, 0.2583], [0.4635, 0.5323, 0.2661], [0.4773, 0.8260, 0.0044], [0.5227, 0.1740, 0.9956], [0.5365, 0.4677, 0.7339], [0.6128, 0.8303, 0.7417], [0.7061, 0.0043, 0.4796], [0.8017, 0.6344, 0.1846], [0.8248, 0.3559, 0.4474], [0.8556, 0.0051, 0.1962], [0.9470, 0.6894, 0.9009]], "energy_ev_per_atom": -7.36, "spacegroup": "P-1 (2)"}